SrCaAc2Tl4 | PBE | optimized geometry

```
8
Lattice="-2.288 2.476 -4.671 -5.719 0.138 -0.677 -3.007 9.129 2.761" Properties=species:S:1:pos:R:3 pbc="T T T"
Sr 0.000 0.000 0.000
Ca -5.507 5.872 -1.293
Ac -8.259 8.769 -1.961
Ac -2.755 2.975 -0.625
Tl -5.633 8.947 0.399
Tl -8.135 5.745 -3.625
Tl -2.879 5.999 1.039
Tl -5.381 2.796 -2.985
```

Output
density of states at the Fermi level: 7.65 states/eV per cell
electronic total energy: -3.067 eV per atom
energy of formation: -0.40 eV per atom
crystal system: trigonal
spin magnetization: 0.00 μB per cell